## P
U3Mo | PBE | optimized geometry

a = 2.800 Å, b = 10.182 Å, c = 5.464 Å
α = 90.00°, β = 90.00°, γ = 90.00°
Space group Imm2 (No. 44)
One atom of each set of equivalent atoms:
U: 0.000 0.000 0.000
U: 0.000 0.236 0.794
Mo: 0.000 0.500 0.987



## Q
U3Mo | PBE | optimized geometry

a = 3.847 Å, b = 3.847 Å, c = 5.273 Å
α = 90.00°, β = 90.00°, γ = 90.00°
Space group P4/mmm (No. 123)
One atom of each set of equivalent atoms:
U: 0.000 0.000 0.000
U: 0.000 0.500 0.500
Mo: 0.500 0.500 0.000



Quick look at relative energies in eV/atom: P 0.000; Q 0.023.



## P
U2VMo | PBE | optimized geometry

a = 4.776 Å, b = 4.776 Å, c = 3.337 Å
α = 90.00°, β = 90.00°, γ = 90.00°
Space group P4/mmm (No. 123)
One atom of each set of equivalent atoms:
U: 0.000 0.500 0.000
V: 0.000 0.000 0.500
Mo: 0.500 0.500 0.500



## Q
U2VMo | PBE | optimized geometry

a = 4.8996 Å, b = 4.8996 Å, c = 10.8703 Å
α = 90.00°, β = 90.00°, γ = 120.00°
Space group R-3m (No. 166, hexagonal axes)
One atom of each set of equivalent atoms:
U: 0.0000 0.0000 0.2244
V: 0.0000 0.0000 0.0000
Mo: 0.0000 0.0000 0.5000



Quick look at relative energies in eV/atom: P 0.052; Q 0.000.



## P
UVMo2 | PBE | optimized geometry

a = 4.594 Å, b = 4.594 Å, c = 3.199 Å
α = 90.00°, β = 90.00°, γ = 90.00°
Space group P4/mmm (No. 123)
One atom of each set of equivalent atoms:
U: 0.000 0.000 0.000
V: 0.500 0.500 0.000
Mo: 0.000 0.500 0.500



## Q
UVMo2 | PBE | optimized geometry

a = 3.265 Å, b = 3.265 Å, c = 6.283 Å
α = 90.00°, β = 90.00°, γ = 90.00°
Space group P4/mmm (No. 123)
One atom of each set of equivalent atoms:
U: 0.000 0.000 0.000
V: 0.000 0.000 0.500
Mo: 0.500 0.500 0.259



Quick look at relative energies in eV/atom: P 0.000; Q 0.034.



## P
UMoW | PBE | optimized geometry

a = 4.6043 Å, b = 4.6043 Å, c = 2.8594 Å
α = 90.00°, β = 90.00°, γ = 120.00°
Space group P3m1 (No. 156)
One atom of each set of equivalent atoms:
U: 0.0000 0.0000 0.0000
Mo: 0.3333 0.6667 0.2760
W: 0.6667 0.3333 0.6974



## Q
UMoW | PBE | optimized geometry

a = 3.693 Å, b = 3.693 Å, c = 8.187 Å
α = 90.00°, β = 90.00°, γ = 90.00°
Space group I4mm (No. 107)
One atom of each set of equivalent atoms:
U: 0.000 0.000 0.000
Mo: 0.000 0.000 0.691
W: 0.000 0.000 0.323



Quick look at relative energies in eV/atom: P 0.000; Q 0.198.



## P
V3Mo4 | PBE | optimized geometry

a = 2.700 Å, b = 2.710 Å, c = 15.196 Å
α = 93.21°, β = 93.41°, γ = 110.15°
Space group P-1 (No. 2)
One atom of each set of equivalent atoms:
V: 0.000 0.000 0.000
V: 0.283 0.283 0.567
Mo: 0.146 0.146 0.292
Mo: 0.429 0.429 0.858



## Q
V3Mo4 | PBE | optimized geometry

a = 11.5380 Å, b = 11.5380 Å, c = 5.3645 Å
α = 90.00°, β = 90.00°, γ = 120.00°
Space group R-3 (No. 148, hexagonal axes)
One atom of each set of equivalent atoms:
V: 0.0482 0.2390 0.1654
Mo: 0.0000 0.0000 0.0000
Mo: 0.0000 0.0000 0.5000
Mo: 0.0478 0.2395 0.6678



Quick look at relative energies in eV/atom: P 0.052; Q 0.000.



## P
VMo5 | PBE | optimized geometry

a = 4.442 Å, b = 13.314 Å, c = 3.136 Å
α = 90.00°, β = 90.00°, γ = 90.00°
Space group Cmmm (No. 65)
One atom of each set of equivalent atoms:
V: 0.000 0.000 0.000
Mo: 0.000 0.165 0.500
Mo: 0.000 0.334 0.000
Mo: 0.000 0.500 0.500



## Q
VMo5 | PBE | optimized geometry

a = 4.440 Å, b = 9.402 Å, c = 4.440 Å
α = 90.00°, β = 90.00°, γ = 90.00°
Space group Cmmm (No. 65)
One atom of each set of equivalent atoms:
V: 0.000 0.000 0.000
Mo: 0.000 0.165 0.500
Mo: 0.000 0.333 0.000
Mo: 0.000 0.500 0.500



Quick look at relative energies in eV/atom: P 0.013; Q 0.000.



## P
V3Mo2 | PBE | optimized geometry

a = 6.626 Å, b = 9.850 Å, c = 4.617 Å
α = 90.00°, β = 90.00°, γ = 90.00°
Space group Pbcn (No. 60)
One atom of each set of equivalent atoms:
V: 0.000 0.012 0.250
V: 0.146 0.433 0.005
Mo: 0.132 0.267 0.507



## Q
V3Mo2 | PBE | optimized geometry

a = 5.228 Å, b = 8.675 Å, c = 6.628 Å
α = 90.00°, β = 90.00°, γ = 90.00°
Space group Cmce (No. 64)
One atom of each set of equivalent atoms:
V: 0.000 0.000 0.000
V: 0.250 0.132 0.250
Mo: 0.000 0.144 0.606



Quick look at relative energies in eV/atom: P 0.000; Q 0.076.



## P
V3Mo13 | PBE | optimized geometry

a = 8.862 Å, b = 6.265 Å, c = 8.870 Å
α = 90.00°, β = 90.00°, γ = 90.00°
Space group Amm2 (No. 38)
One atom of each set of equivalent atoms:
V: 0.000 0.000 0.000
V: 0.249 0.000 0.247
Mo: 0.000 0.000 0.496
Mo: 0.000 0.247 0.248
Mo: 0.248 0.000 0.749
Mo: 0.248 0.249 0.998
Mo: 0.500 0.000 0.000
Mo: 0.500 0.000 0.496
Mo: 0.500 0.247 0.248



## Q
V3Mo13 | PBE | optimized geometry

a = 6.271 Å, b = 8.853 Å, c = 8.876 Å
α = 90.00°, β = 90.00°, γ = 90.00°
Space group Amm2 (No. 38)
One atom of each set of equivalent atoms:
V: 0.000 0.000 0.000
V: 0.249 0.000 0.249
Mo: 0.000 0.000 0.497
Mo: 0.000 0.247 0.249
Mo: 0.249 0.000 0.750
Mo: 0.249 0.248 0.000
Mo: 0.500 0.000 0.003
Mo: 0.500 0.000 0.498
Mo: 0.500 0.247 0.250



Quick look at relative energies in eV/atom: P 0.000; Q 0.012.



## P
V6Mo | PBE | optimized geometry

a = 4.234 Å, b = 4.234 Å, c = 5.867 Å
α = 90.00°, β = 90.00°, γ = 90.00°
Space group P4/mmm (No. 123)
One atom of each set of equivalent atoms:
V: 0.000 0.000 0.000
V: 0.000 0.500 0.242
V: 0.500 0.500 0.500
Mo: 0.000 0.000 0.500



## Q
V6Mo | PBE | optimized geometry

a = 11.2695 Å, b = 11.2695 Å, c = 2.6380 Å
α = 90.00°, β = 90.00°, γ = 120.00°
Space group R-3 (No. 148, hexagonal axes)
One atom of each set of equivalent atoms:
V: 0.0491 0.2415 0.1745
Mo: 0.0000 0.0000 0.5000



Quick look at relative energies in eV/atom: P 0.429; Q 0.000.



## P
V3Mo7 | PBE | optimized geometry

a = 13.209 Å, b = 4.407 Å, c = 5.387 Å
α = 90.00°, β = 105.80°, γ = 90.00°
Space group C2/m (No. 12)
One atom of each set of equivalent atoms:
V: 0.000 0.000 0.000
V: 0.200 0.000 0.804
Mo: 0.000 0.000 0.500
Mo: 0.101 0.500 0.399
Mo: 0.101 0.500 0.901
Mo: 0.200 0.000 0.297



## Q
V3Mo7 | PBE | optimized geometry

a = 8.0459 Å, b = 8.0459 Å, c = 5.5679 Å
α = 90.00°, β = 90.00°, γ = 120.00°
Space group P6_3mc (No. 186)
One atom of each set of equivalent atoms:
V: 0.2078 0.4156 0.0000
Mo: 0.0647 0.5324 0.6926
Mo: 0.1217 0.2434 0.4511
Mo: 0.3333 0.6667 0.3471



Quick look at relative energies in eV/atom: P 0.000; Q 0.414.



## P
V2Mo3W4 | PBE | optimized geometry

a = 7.682 Å, b = 4.440 Å, c = 8.145 Å
α = 90.00°, β = 90.00°, γ = 90.00°
Space group C2/m (No. 12)
One atom of each set of equivalent atoms:
V: 0.167 0.000 0.278
Mo: 0.000 0.500 0.500
Mo: 0.167 0.000 0.944
W: 0.000 0.500 0.169
W: 0.167 0.000 0.612



## Q
V2Mo3W4 | PBE | optimized geometry

a = 7.907 Å, b = 8.971 Å, c = 8.119 Å
α = 90.00°, β = 100.00°, γ = 90.00°
Space group C2/c (No. 15)
One atom of each set of equivalent atoms:
V: 0.110 0.127 0.414
Mo: 0.000 0.121 0.750
Mo: 0.167 0.372 0.253
W: 0.057 0.373 0.584
W: 0.219 0.124 0.082



Quick look at relative energies in eV/atom: P 0.000; Q 0.291.